No. 1
Below is crystalline HfPdCl2F at its relaxed geometry, with properties calculated at the PBE level.

E (eV per atom): -4.188

abc: 4.908 4.908 3.884
angles: 90.00 90.00 90.00
Space group P4/mmm (No. 123)
Inequivalent atoms, fractional coordinates:
Hf  0.000  0.000  0.000 (multiplicity 1)
Pd  0.500  0.500  0.000 (multiplicity 1)
Cl  0.000  0.500  0.500 (multiplicity 2)
F  0.500  0.500  0.500 (multiplicity 1)

=====

No. 2
Below is crystalline Nd5PdRh4 at its relaxed geometry, with properties calculated at the PBE level.

E (eV per atom): -6.507

abc: 3.546 3.546 17.933
angles: 90.00 90.00 90.00
Space group P4/mmm (No. 123)
Inequivalent atoms, fractional coordinates:
Nd  0.000  0.000  0.000 (multiplicity 1)
Nd  0.000  0.000  0.198 (multiplicity 2)
Nd  0.000  0.000  0.395 (multiplicity 2)
Pd  0.500  0.500  0.500 (multiplicity 1)
Rh  0.500  0.500  0.099 (multiplicity 2)
Rh  0.500  0.500  0.298 (multiplicity 2)

=====

No. 3
Below is crystalline ScTa2Fe at its relaxed geometry, with properties calculated at the PBE level.

Offset from the most stable computed form (meV per atom): 216

abc: 6.481 6.481 6.481
angles: 90.00 90.00 90.00
Space group F-43m (No. 216)
Inequivalent atoms, fractional coordinates:
Sc  0.000  0.000  0.000 (multiplicity 4)
Ta  0.000  0.000  0.500 (multiplicity 4)
Ta  0.250  0.250  0.750 (multiplicity 4)
Fe  0.250  0.250  0.250 (multiplicity 4)

=====

No. 4
Below is crystalline PmDyRu4 at its relaxed geometry, with properties calculated at the PBE level.

E (eV per atom): -7.978

abc: 7.594 7.594 7.594
angles: 90.00 90.00 90.00
Space group F-43m (No. 216)
Inequivalent atoms, fractional coordinates:
Pm  0.000  0.000  0.000 (multiplicity 4)
Dy  0.250  0.250  0.250 (multiplicity 4)
Ru  0.125  0.125  0.625 (multiplicity 16)

=====

No. 5
Below is crystalline Sm3Dy4Tm8 at its relaxed geometry, with properties calculated at the PBE level.

E (eV per atom): -4.155

abc: 13.250 12.798 6.671
angles: 90.00 120.14 90.00
Space group C2/m (No. 12)
Inequivalent atoms, fractional coordinates:
Sm  0.000  0.000  0.000 (multiplicity 2)
Sm  0.250  0.250  0.000 (multiplicity 4)
Dy  0.000  0.000  0.500 (multiplicity 2)
Dy  0.000  0.500  0.000 (multiplicity 2)
Dy  0.250  0.250  0.500 (multiplicity 4)
Tm  0.000  0.254  0.000 (multiplicity 4)
Tm  0.000  0.363  0.500 (multiplicity 4)
Tm  0.232  0.500  0.969 (multiplicity 4)
Tm  0.234  0.500  0.491 (multiplicity 4)

=====

No. 6
Below is crystalline KNb2GeO8 at its relaxed geometry, with properties calculated at the PBE level.

E (eV per atom): -7.476

abc: 9.090 5.953 7.501
angles: 90.00 108.20 90.00
Space group C2/m (No. 12)
Inequivalent atoms, fractional coordinates:
K  0.000  0.000  0.000 (multiplicity 2)
Nb  0.078  0.500  0.259 (multiplicity 4)
Ge  0.000  0.000  0.500 (multiplicity 2)
O  0.000  0.227  0.320 (multiplicity 8)
O  0.123  0.500  0.019 (multiplicity 4)
O  0.219  0.000  0.587 (multiplicity 4)

=====

No. 7
Below is crystalline Co2IrPb at its relaxed geometry, with properties calculated at the PBE level.

E (eV per atom): -6.280

abc: 3.924 3.924 7.731
angles: 90.00 90.00 90.00
Space group I-4m2 (No. 119)
Inequivalent atoms, fractional coordinates:
Co  0.000  0.000  0.000 (multiplicity 2)
Co  0.000  0.500  0.250 (multiplicity 2)
Ir  0.000  0.000  0.500 (multiplicity 2)
Pb  0.000  0.500  0.750 (multiplicity 2)

=====

No. 8
Below is crystalline Pm4AlCu3 at its relaxed geometry, with properties calculated at the PBE level.

E (eV per atom): -4.583

abc: 3.759 4.513 11.302
angles: 90.00 90.00 90.00
Space group Pmm2 (No. 25)
Inequivalent atoms, fractional coordinates:
Pm  0.000  0.000  0.000 (multiplicity 1)
Pm  0.000  0.500  0.276 (multiplicity 1)
Pm  0.500  0.000  0.481 (multiplicity 1)
Pm  0.500  0.500  0.791 (multiplicity 1)
Al  0.000  0.000  0.702 (multiplicity 1)
Cu  0.000  0.500  0.572 (multiplicity 1)
Cu  0.500  0.000  0.202 (multiplicity 1)
Cu  0.500  0.500  0.074 (multiplicity 1)

=====

No. 9
Below is crystalline Ce3Ge2Sb2 at its relaxed geometry, with properties calculated at the PBE level.

E (eV per atom): -5.798

abc: 11.688 4.104 8.494
angles: 90.00 113.04 90.00
Space group C2/m (No. 12)
Inequivalent atoms, fractional coordinates:
Ce  0.000  0.000  0.000 (multiplicity 2)
Ce  0.159  0.000  0.650 (multiplicity 4)
Ge  0.188  0.500  0.926 (multiplicity 4)
Sb  0.069  0.500  0.333 (multiplicity 4)

=====

No. 10
Below is crystalline Hg2TeRh at its relaxed geometry, with properties calculated at the PBE level.

Offset from the most stable computed form (meV per atom): 401

abc: 3.1417 3.1417 32.3926
angles: 90.00 90.00 120.00
Space group R-3m (No. 166, hexagonal axes)
Inequivalent atoms, fractional coordinates:
Hg  0.0000  0.0000  0.2335 (multiplicity 6)
Te  0.0000  0.0000  0.0000 (multiplicity 3)
Rh  0.0000  0.0000  0.5000 (multiplicity 3)

=====

No. 11
Below is crystalline LaZn2SiNi at its relaxed geometry, with properties calculated at the PBE level.

Offset from the most stable computed form (meV per atom): 338

abc: 4.624 4.624 5.065
angles: 90.00 90.00 90.00
Space group P4/mmm (No. 123)
Inequivalent atoms, fractional coordinates:
La  0.000  0.000  0.000 (multiplicity 1)
Zn  0.000  0.500  0.500 (multiplicity 2)
Si  0.500  0.500  0.000 (multiplicity 1)
Ni  0.000  0.000  0.500 (multiplicity 1)

=====

No. 12
Below is crystalline RePtW2 at its relaxed geometry, with properties calculated at the PBE level.

Offset from the most stable computed form (meV per atom): 73

abc: 2.793 2.793 8.030
angles: 90.00 90.00 90.00
Space group P4/mmm (No. 123)
Inequivalent atoms, fractional coordinates:
Re  0.000  0.000  0.000 (multiplicity 1)
Pt  0.000  0.000  0.500 (multiplicity 1)
W  0.500  0.500  0.243 (multiplicity 2)